A plane-wave DFT calculation with PBE was carried out for crystalline CdHg2Se2S at its relaxed geometry.

As for the magnetic moment: 0.00 μB per atom.

Cell lengths 13.0496, 7.5270, 7.1094 Å; angles 90.00, 90.00, 90.00 degrees
With the nearest neighbours (Å) after each atom.
Space group Cmc2_1 (No. 36)
Asymmetric unit:
Cd1 0.0000 0.1561 0.0000 x4  2 S 2.57-2.58, 2 Se 2.69
Hg1 0.1616 0.3283 0.5177 x8  1 S 2.60, 3 Se 2.70-2.72
Se1 0.1639 0.3303 0.1357 x8  1 Cd 2.69, 3 Hg 2.70-2.72
S1 0.0000 0.1602 0.6377 x4  2 Cd 2.57-2.58, 2 Hg 2.60


A plane-wave DFT calculation with PBE was carried out for crystalline Cd2HgSe2S at its relaxed geometry.

As for the magnetic moment: 0.00 μB per atom.

Cell lengths 12.9978, 7.5018, 7.0804 Å; angles 90.00, 90.00, 90.00 degrees
With the nearest neighbours (Å) after each atom.
Space group Cmc2_1 (No. 36)
Asymmetric unit:
Cd1 0.1619 0.1718 0.0000 x8  1 S 2.57, 3 Se 2.68-2.69
Hg1 0.0000 0.3412 0.4842 x4  2 S 2.60-2.61, 2 Se 2.70
Se1 0.1663 0.1668 0.6207 x8  3 Cd 2.68-2.69, 1 Hg 2.70
S1 0.0000 0.3348 0.1163 x4  2 Cd 2.57, 2 Hg 2.60-2.61


A plane-wave DFT calculation with PBE was carried out for crystalline SrCd2HgS at its relaxed geometry.

As for the magnetic moment: 0.00 μB per atom.

Cell lengths 5.2093, 5.2093, 6.3418 Å; angles 90.00, 90.00, 90.00 degrees
With the nearest neighbours (Å) after each atom.
Space group P4/mmm (No. 123)
Asymmetric unit:
Sr1 0.0000 0.0000 0.0000 x1  2 Hg 3.17
Cd1 0.0000 0.5000 0.5000 x2  2 Hg 2.60
Hg1 0.0000 0.0000 0.5000 x1  4 Cd 2.60
S1 0.5000 0.5000 0.0000 x1  4 Sr 3.68, 8 Cd 4.10


So what do the calculations give for Fermi-level density of states? Going down the list: 0.692; 0.195; 2.494 states/eV/f.u..
So what do the calculations give for energy? Going down the list: -2.43; -2.68; -1.67 eV/atom.
So what do the calculations give for formation energy without anion corrections? Going down the list: -1.982; -2.829; -0.411 eV/f.u..